VASP calculation (GGA-PBE) on a geometry-optimized Sr2MnCrB structure.

## Properties
**Magnetic moment**: 7.46 μB per formula unit
**ΔE_f**: 0.915 eV per atom
**DOS at the Fermi energy**: 0.94 states/eV per atom

abc: 5.8790 5.8790 3.9829
angles: 90.00 90.00 90.00
Closest atoms and distances in Å follow each position.
Element x y z (fractional)
Sr1 0.0000 0.5000 0.0000  2 Mn 2.94
Sr2 0.5000 0.0000 0.0000  2 Mn 2.94
Mn1 0.0000 0.0000 0.0000  2 B 1.99
Cr1 0.5000 0.5000 0.5000  8 Sr 3.55
B1 0.0000 0.0000 0.5000  2 Mn 1.99

VASP calculation (GGA-PBE) on a geometry-optimized LaCo2Te structure.

## Properties
**Magnetic moment**: 1.51 μB per formula unit
**DOS at the Fermi energy**: 0.69 states/eV per atom
**Formation energy without anion corrections**: 0.013 eV/atom

abc: 4.4997 4.4997 3.7283
angles: 90.00 90.00 90.00
Closest atoms and distances in Å follow each position.
Element x y z (fractional)
La1 0.0000 0.0000 0.0000  8 Co 2.92, 4 Te 3.18
Co1 0.0000 0.5000 0.5000  4 La 2.92, 4 Te 2.92, 4 Co 3.18
Co2 0.5000 0.0000 0.5000  4 La 2.92, 4 Te 2.92, 4 Co 3.18
Te1 0.5000 0.5000 0.0000  8 Co 2.92, 4 La 3.18

VASP calculation (GGA-PBE) on a geometry-optimized K2RbTlF structure.

## Properties
**Magnetic moment**: 0.00 μB per formula unit
**DOS at the Fermi energy**: 0.52 states/eV per atom
**Formation energy without anion corrections**: -1.031 eV/atom

abc: 5.5933 5.5933 5.7924
angles: 90.00 90.00 90.00
Closest atoms and distances in Å follow each position.
Element x y z (fractional)
K1 0.0000 0.5000 0.0000  2 F 2.80
K2 0.5000 0.0000 0.0000  2 F 2.80
Rb1 0.0000 0.0000 0.5000  2 F 2.90
Tl1 0.5000 0.5000 0.5000  4 Rb 3.96, 8 K 4.03
F1 0.0000 0.0000 0.0000  4 K 2.80, 2 Rb 2.90

VASP calculation (GGA-PBE) on a geometry-optimized ZrCoRuSe2 structure.

## Properties
**Magnetic moment**: 0.02 μB per formula unit
**DOS at the Fermi energy**: 0.92 states/eV per atom
**Formation energy without anion corrections**: 0.440 eV/atom

abc: 4.8054 4.8054 4.3331
angles: 90.00 90.00 90.00
Closest atoms and distances in Å follow each position.
Element x y z (fractional)
Zr1 0.0000 0.0000 0.0000  8 Se 3.24, 4 Co 3.40
Co1 0.5000 0.5000 0.0000  2 Ru 2.17
Ru1 0.5000 0.5000 0.5000  2 Co 2.17, 4 Se 2.40
Se1 0.0000 0.5000 0.5000  2 Ru 2.40
Se2 0.5000 0.0000 0.5000  2 Ru 2.40

VASP calculation (GGA-PBE) on a geometry-optimized SmEuHoSn structure.

## Properties
**Magnetic moment**: 7.83 μB per formula unit
**ΔE_f**: -0.243 eV per atom
**DOS at the Fermi energy**: 1.35 states/eV per atom

abc: 5.4925 5.4925 5.4925
angles: 60.00 60.00 60.00
Closest atoms and distances in Å follow each position.
Element x y z (fractional)
Sm1 0.0000 0.0000 0.0000  4 Sn 3.36, 4 Eu 3.36
Eu1 0.2500 0.2500 0.2500  4 Ho 3.36, 4 Sm 3.36
Ho1 0.5000 0.5000 0.5000  4 Sn 3.36, 4 Eu 3.36
Sn1 0.7500 0.7500 0.7500  4 Sm 3.36, 4 Ho 3.36

VASP calculation (GGA-PBE) on a geometry-optimized LiDy2Se structure.

## Properties
**Magnetic moment**: 0.00 μB per formula unit
**DOS at the Fermi energy**: 0.82 states/eV per atom
**Excess energy over the best structure of this formula in the dataset**: 143 meV per atom
**Formation energy without anion corrections**: -0.538 eV/atom

abc: 10.3403 10.3403 10.3403
angles: 20.84 20.84 20.84
Closest atoms and distances in Å follow each position.
Element x y z (fractional)
Li1 0.0000 0.0000 0.0000  2 Dy 3.27
Dy1 0.1077 0.1077 0.1077  3 Se 2.80
Dy2 0.8923 0.8923 0.8923  3 Se 2.80
Se1 0.5000 0.5000 0.5000  6 Dy 2.80

VASP calculation (GGA-PBE) on a geometry-optimized La4PmTh3S8 structure.

## Properties
**Magnetic moment**: 0.00 μB per formula unit
**DOS at the Fermi energy**: 0.40 states/eV per atom
**Formation energy without anion corrections**: -2.030 eV/atom

abc: 8.1996 8.1996 8.1996
angles: 59.82 59.82 59.82
Closest atoms and distances in Å follow each position.
Element x y z (fractional)
La1 0.0000 0.0000 0.0000  6 S 2.93
La2 0.0000 0.5000 0.5000  6 S 2.92
La3 0.5000 0.0000 0.5000  6 S 2.92
La4 0.5000 0.5000 0.0000  6 S 2.92
Pm1 0.5000 0.5000 0.5000  6 S 2.86
Th1 0.0000 0.0000 0.5000  6 S 2.87
Th2 0.0000 0.5000 0.0000  6 S 2.87
Th3 0.5000 0.0000 0.0000  6 S 2.87
S1 0.2479 0.2479 0.2479  3 Th 2.87, 3 La 2.92
S2 0.2483 0.7470 0.7470  1 Pm 2.86, 2 Th 2.87, 3 La 2.92-2.93
S3 0.2530 0.2530 0.7517  1 Pm 2.86, 2 Th 2.87, 3 La 2.92-2.93
S4 0.2530 0.7517 0.2530  1 Pm 2.86, 2 Th 2.87, 3 La 2.92-2.93
S5 0.7470 0.2483 0.7470  1 Pm 2.86, 2 Th 2.87, 3 La 2.92-2.93
S6 0.7470 0.7470 0.2483  1 Pm 2.86, 2 Th 2.87, 3 La 2.92-2.93
S7 0.7517 0.2530 0.2530  1 Pm 2.86, 2 Th 2.87, 3 La 2.92-2.93
S8 0.7521 0.7521 0.7521  3 Th 2.87, 3 La 2.92

VASP calculation (GGA-PBE) on a geometry-optimized CaMgCr2 structure.

## Properties
**Magnetic moment**: 7.92 μB per formula unit
**ΔE_f**: 0.837 eV per atom
**DOS at the Fermi energy**: 1.02 states/eV per atom

abc: 9.9855 9.9855 9.9855
angles: 18.74 18.74 18.74
Closest atoms and distances in Å follow each position.
Element x y z (fractional)
Ca1 0.0000 0.0000 0.0000  6 Cr 3.22, 6 Ca 3.25
Mg1 0.5000 0.5000 0.5000  6 Cr 2.96, 6 Mg 3.25
Cr1 0.2443 0.2443 0.2443  3 Mg 2.96, 3 Ca 3.22, 6 Cr 3.25
Cr2 0.7557 0.7557 0.7557  3 Mg 2.96, 3 Ca 3.22, 6 Cr 3.25

VASP calculation (GGA-PBE) on a geometry-optimized AlFeCl structure.

## Properties
**Magnetic moment**: 2.10 μB per formula unit
**DOS at the Fermi energy**: 0.95 states/eV per atom
**Excess energy over the best structure of this formula in the dataset**: 0 meV per atom
**Formation energy without anion corrections**: -0.026 eV/atom

abc: 3.1238 3.1238 5.5126
angles: 90.00 90.00 120.00
Closest atoms and distances in Å follow each position.
Element x y z (fractional)
Al1 0.0000 0.0000 0.0000  3 Fe 2.44
Fe1 0.3333 0.6667 0.7015  3 Al 2.44, 3 Cl 2.52
Cl1 0.6667 0.3333 0.3814  3 Fe 2.52, 3 Al 2.77

VASP calculation (GGA-PBE) on a geometry-optimized Gd10S19 structure.

## Properties
**Magnetic moment**: 13.97 μB per formula unit
**Formation energy without anion corrections**: -1.807 eV/atom

abc: 8.7572 8.7572 15.9152
angles: 90.00 90.00 90.00
Closest atoms and distances in Å follow each position.
Element x y z (fractional)
Gd1 0.0415 0.3482 0.1213  9 S 2.84-3.10
Gd2 0.0543 0.3541 0.6031  8 S 2.80-3.05
Gd3 0.1459 0.0543 0.8969  8 S 2.80-3.05
Gd4 0.1518 0.0415 0.3787  9 S 2.84-3.10
Gd5 0.2500 0.7500 0.1149  9 S 2.83-2.93
Gd6 0.2500 0.7500 0.6149  9 S 2.83-2.93
Gd7 0.3482 0.4585 0.3787  9 S 2.84-3.10
Gd8 0.3541 0.4457 0.8969  8 S 2.80-3.05
Gd9 0.4457 0.1459 0.6031  8 S 2.80-3.05
Gd10 0.4585 0.1518 0.1213  9 S 2.84-3.10
Gd11 0.5415 0.8482 0.8787  9 S 2.84-3.10
Gd12 0.5543 0.8541 0.3969  8 S 2.80-3.05
Gd13 0.6459 0.5543 0.1031  8 S 2.80-3.05
Gd14 0.6518 0.5415 0.6213  9 S 2.84-3.10
Gd15 0.7500 0.2500 0.3851  9 S 2.83-2.93
Gd16 0.7500 0.2500 0.8851  9 S 2.83-2.93
Gd17 0.8482 0.9585 0.6213  9 S 2.84-3.10
Gd18 0.8541 0.9457 0.1031  8 S 2.80-3.05
Gd19 0.9457 0.6459 0.3969  8 S 2.80-3.05
Gd20 0.9585 0.6518 0.8787  9 S 2.84-3.10
S1 0.0300 0.8065 0.2494  1 S 2.17
S2 0.0485 0.3483 0.4270  5 Gd 2.80-2.94
S3 0.0537 0.3514 0.9377  5 Gd 2.80-2.93
S4 0.0734 0.8867 0.7502  1 S 2.17
S5 0.1133 0.5734 0.2502  1 S 2.17
S6 0.1486 0.0537 0.5623  5 Gd 2.80-2.93
S7 0.1517 0.0485 0.0730  5 Gd 2.80-2.94
S8 0.1935 0.5300 0.7494  1 S 2.17
S9 0.2500 0.2500 0.2500  4 Gd 2.87, 4 S 3.07
S10 0.2500 0.7500 0.4348  5 Gd 2.84-2.88
S11 0.2500 0.7500 0.9348  5 Gd 2.84-2.88
S12 0.3065 0.9700 0.7494  1 S 2.17
S13 0.3483 0.4515 0.0730  5 Gd 2.80-2.94
S14 0.3514 0.4463 0.5623  5 Gd 2.80-2.93
S15 0.3867 0.9266 0.2502  1 S 2.17
S16 0.4266 0.6133 0.7502  1 S 2.17
S17 0.4463 0.1486 0.9377  5 Gd 2.80-2.93
S18 0.4515 0.1517 0.4270  5 Gd 2.80-2.94
S19 0.4700 0.6935 0.2494  1 S 2.17
S20 0.5300 0.3065 0.7506  1 S 2.17
S21 0.5485 0.8483 0.5730  5 Gd 2.80-2.94
S22 0.5537 0.8514 0.0623  5 Gd 2.80-2.93
S23 0.5734 0.3867 0.2498  1 S 2.17
S24 0.6133 0.0734 0.7498  1 S 2.17
S25 0.6486 0.5537 0.4377  5 Gd 2.80-2.93
S26 0.6517 0.5485 0.9270  5 Gd 2.80-2.94
S27 0.6935 0.0300 0.2506  1 S 2.17
S28 0.7500 0.2500 0.0652  5 Gd 2.84-2.88
S29 0.7500 0.2500 0.5652  5 Gd 2.84-2.88
S30 0.7500 0.7500 0.7500  4 Gd 2.87, 4 S 3.07
S31 0.8065 0.4700 0.2506  1 S 2.17
S32 0.8483 0.9515 0.9270  5 Gd 2.80-2.94
S33 0.8514 0.9463 0.4377  5 Gd 2.80-2.93
S34 0.8867 0.4266 0.7498  1 S 2.17
S35 0.9266 0.1133 0.2498  1 S 2.17
S36 0.9463 0.6486 0.0623  5 Gd 2.80-2.93
S37 0.9515 0.6517 0.5730  5 Gd 2.80-2.94
S38 0.9700 0.1935 0.7506  1 S 2.17

VASP calculation (GGA-PBE) on a geometry-optimized CoTeP2 structure.

## Properties
**Magnetic moment**: 0.00 μB per formula unit
**DOS at the Fermi energy**: 0.67 states/eV per atom
**Formation energy without anion corrections**: 0.084 eV/atom

abc: 7.3891 7.3891 7.3891
angles: 26.63 26.63 26.63
Closest atoms and distances in Å follow each position.
Element x y z (fractional)
Co1 0.0000 0.0000 0.0000  6 P 2.23
Te1 0.5000 0.5000 0.5000  6 P 3.19, 6 Te 3.40
P1 0.2841 0.2841 0.2841  3 Co 2.23
P2 0.7159 0.7159 0.7159  3 Co 2.23

VASP calculation (GGA-PBE) on a geometry-optimized Sc2ReW structure.

## Properties
**Magnetic moment**: 0.00 μB per formula unit
**ΔE_f**: 0.259 eV per atom
**DOS at the Fermi energy**: 1.34 states/eV per atom
**Excess energy over the best structure of this formula in the dataset**: 316 meV per atom

abc: 2.7744 2.7744 9.2851
angles: 90.00 90.00 90.00
Closest atoms and distances in Å follow each position.
Element x y z (fractional)
Sc1 0.0000 0.0000 0.2463  4 Sc 2.77, 4 Re 3.01, 4 W 3.07
Sc2 0.0000 0.0000 0.7537  4 Sc 2.77, 4 Re 3.01, 4 W 3.07
Re1 0.5000 0.5000 0.0000  4 Re 2.77, 8 Sc 3.01
W1 0.5000 0.5000 0.5000  4 W 2.77, 8 Sc 3.07

Number 1: theoretical density 3534 kg/m3. Number 2: theoretical density 8455 kg/m3. Number 3: theoretical density 3547 kg/m3. Number 4: theoretical density 6790 kg/m3. Number 5: theoretical density 8305 kg/m3. Number 6: theoretical density 5569 kg/m3. Number 7: theoretical density 7072 kg/m3. Number 8: theoretical density 3114 kg/m3. Number 9: theoretical density 4216 kg/m3. Number 10: theoretical density 5937 kg/m3. Number 11: theoretical density 5772 kg/m3. Number 12: theoretical density 10687 kg/m3.